(1)
Density functional theory data (PBE) for LiBO after structural relaxation.

Computed properties:
- magnetic moment (μB/f.u.) = 0.000
- E_form (uncorrected) (eV per formula unit) = -4.31

abc: 6.027 3.012 7.154
angles: 90.00 107.58 90.00
Space group C2/m (No. 12)
Unique sites:
1 Li 0.039 0.000 0.306
2 B 0.229 0.500 0.928
3 O 0.161 0.500 0.729



(2)
Density functional theory data (PBE) for LiB2O after structural relaxation.

Computed properties:
- magnetic moment (μB/f.u.) = 0.000
- E_form (uncorrected) (eV per formula unit) = 0.13

abc: 6.177 6.177 3.354
angles: 90.00 90.00 90.00
Space group I-42d (No. 122)
Unique sites:
1 Li 0.000 0.000 0.000
2 B 0.204 0.250 0.625
3 O 0.000 0.000 0.500



(3)
Density functional theory data (PBE) for Li5BO4 after structural relaxation.

Computed properties:
- magnetic moment (μB/f.u.) = 0.000
- E_form (uncorrected) (eV per formula unit) = -20.72
- energy relative to the lowest polymorph listed for this composition (meV per atom) = 0

abc: 5.955 6.088 4.582
angles: 90.00 90.00 90.00
Space group Pmmn (No. 59, origin choice 2)
Unique sites:
1 Li 0.011 0.052 0.241
2 Li 0.250 0.750 0.327
3 B 0.250 0.250 0.721
4 O 0.037 0.250 0.904
5 O 0.250 0.042 0.534



(4)
Density functional theory data (PBE) for LiB3O5 after structural relaxation.

Computed properties:
- magnetic moment (μB/f.u.) = 0.000
- E_form (uncorrected) (eV per formula unit) = -21.79

abc: 8.516 7.424 5.258
angles: 90.00 90.00 90.00
Space group Pna2_1 (No. 33)
Unique sites:
1 Li 0.080 0.069 0.000
2 B 0.009 0.664 0.128
3 B 0.159 0.747 0.755
4 B 0.193 0.441 0.936
5 O 0.058 0.797 0.955
6 O 0.083 0.503 0.132
7 O 0.114 0.294 0.787
8 O 0.165 0.872 0.562
9 O 0.240 0.588 0.757



(5)
Density functional theory data (PBE) for LiB3O after structural relaxation.

Computed properties:
- magnetic moment (μB/f.u.) = 0.000
- E_form (uncorrected) (eV per formula unit) = 8.25
- energy relative to the lowest polymorph listed for this composition (meV per atom) = 0

abc: 3.622 3.622 3.622
angles: 90.00 90.00 90.00
Space group Pm-3m (No. 221)
Unique sites:
1 Li 0.000 0.000 0.000
2 B 0.000 0.500 0.500
3 O 0.500 0.500 0.500



(6)
Density functional theory data (PBE) for LiBO2 after structural relaxation.

Computed properties:
- magnetic moment (μB/f.u.) = 0.000
- E_form (uncorrected) (eV per formula unit) = -9.27

abc: 5.564 8.143 4.054
angles: 90.00 117.08 90.00
Space group C2/c (No. 15)
Unique sites:
1 Li 0.000 0.199 0.250
2 B 0.000 0.495 0.750
3 O 0.152 0.402 0.592



(7)
Density functional theory data (PBE) for Li2BO after structural relaxation.

Computed properties:
- magnetic moment (μB/f.u.) = 0.000
- E_form (uncorrected) (eV per formula unit) = 0.52
- energy relative to the lowest polymorph listed for this composition (meV per atom) = 396

abc: 5.345 5.345 5.345
angles: 90.00 90.00 90.00
Space group Fm-3m (No. 225)
Unique sites:
1 Li 0.250 0.250 0.250
2 B 0.000 0.000 0.000
3 O 0.000 0.000 0.500



(8)
Density functional theory data (PBE) for Li5BO4 after structural relaxation.

Computed properties:
- magnetic moment (μB/f.u.) = 0.000
- E_form (uncorrected) (eV per formula unit) = -20.33
- energy relative to the lowest polymorph listed for this composition (meV per atom) = 39

abc: 8.621 8.667 8.947
angles: 90.00 90.00 90.00
Space group Pbca (No. 61)
Unique sites:
1 Li 0.073 0.087 0.098
2 Li 0.097 0.683 0.869
3 Li 0.134 0.080 0.346
4 Li 0.137 0.642 0.140
5 Li 0.184 0.127 0.588
6 B 0.130 0.145 0.855
7 O 0.031 0.247 0.956
8 O 0.038 0.036 0.755
9 O 0.223 0.249 0.756
10 O 0.240 0.054 0.962